Compound: Ac2La2PaIr4
Source: the Alexandria database
Functional: GGA-PBE
Structure: relaxed

Values from the calculation:
Total magnetization ... 0.00 μB/f.u.
Raw total energy ... -7.718 eV/atom

Cell lengths 4.3890, 8.6639, 9.4449 Å; angles 129.42, 90.00, 104.67 degrees
Closest atoms and distances in Å follow each position.
Element x y z (fractional)
1 Pa 0.0000 0.0000 0.0000  6 Ir 2.69-2.75
2 Ir 0.5934 0.1869 0.2320  2 Pa 2.75
3 Ir 0.4066 0.8131 0.7680  2 Pa 2.75
4 Ir 0.7957 0.5915 0.8412  1 Pa 2.69, 2 La 2.92
5 Ir 0.2043 0.4085 0.1588  1 Pa 2.69, 2 La 2.92
6 Ac 0.1637 0.3275 0.5357  5 Ir 3.11-3.16
7 Ac 0.8363 0.6725 0.4643  5 Ir 3.11-3.16
8 La 0.3702 0.7403 0.1051  4 Ir 2.92-3.14
9 La 0.6298 0.2597 0.8949  4 Ir 2.92-3.14

Compound: SrNpPdSe3
Source: the Alexandria database
Functional: GGA-PBE
Structure: relaxed

Values from the calculation:
Total magnetization ... 3.42 μB/f.u.
E_form (uncorrected) ... -1.24 eV per atom
Raw total energy ... -6.284 eV/atom

Cell lengths 4.1466, 8.4919, 9.1691 Å; angles 104.85, 90.00, 90.00 degrees
Closest atoms and distances in Å follow each position.
Element x y z (fractional)
1 Se 0.2500 0.0990 0.8653  1 Pd 2.72, 2 Np 2.86
2 Se 0.7500 0.9010 0.1347  1 Pd 2.72, 2 Np 2.86
3 Se 0.2500 0.5623 0.8416  3 Np 2.90-2.91, 2 Sr 3.17
4 Se 0.7500 0.4377 0.1584  3 Np 2.90-2.91, 2 Sr 3.17
5 Se 0.2500 0.7492 0.4810  2 Pd 2.53, 1 Np 2.78
6 Se 0.7500 0.2508 0.5190  2 Pd 2.53, 1 Np 2.78
7 Pd 0.7500 0.8973 0.4300  3 Se 2.53-2.72, 2 Pd 2.80
8 Pd 0.2500 0.1027 0.5700  3 Se 2.53-2.72, 2 Pd 2.80
9 Sr 0.2500 0.1907 0.2403  7 Se 3.17-3.32, 1 Pd 3.30
10 Sr 0.7500 0.8093 0.7597  7 Se 3.17-3.32, 1 Pd 3.30
11 Np 0.7500 0.3199 0.8318  6 Se 2.78-2.91
12 Np 0.2500 0.6801 0.1682  6 Se 2.78-2.91

Compound: Zr3Cd2Hg4
Source: the Alexandria database
Functional: GGA-PBE
Structure: relaxed

Values from the calculation:
Total magnetization ... 0.45 μB/f.u.
Raw total energy ... -3.166 eV/atom

Cell lengths 4.9779, 11.4248, 11.4248 Å; angles 118.83, 70.43, 70.43 degrees
Closest atoms and distances in Å follow each position.
Element x y z (fractional)
1 Zr 0.8318 0.1723 0.0642  4 Zr 2.97-3.27, 4 Hg 3.06-3.24, 1 Cd 3.17
2 Zr 0.1682 0.8277 0.9358  4 Zr 2.97-3.27, 4 Hg 3.06-3.24, 1 Cd 3.17
3 Zr 0.2500 0.5501 0.4499  6 Hg 3.01-3.03, 2 Cd 3.08, 4 Zr 3.18-3.34
4 Zr 0.6682 0.9358 0.8277  4 Zr 2.97-3.27, 4 Hg 3.06-3.24, 1 Cd 3.17
5 Zr 0.7500 0.4499 0.5501  6 Hg 3.01-3.03, 2 Cd 3.08, 4 Zr 3.18-3.34
6 Zr 0.3318 0.0642 0.1723  4 Zr 2.97-3.27, 4 Hg 3.06-3.24, 1 Cd 3.17
7 Cd 0.0069 0.8600 0.4881  4 Hg 2.91-3.22, 2 Cd 3.05-3.06, 2 Zr 3.08-3.17
8 Cd 0.4931 0.5119 0.1400  4 Hg 2.91-3.22, 2 Cd 3.05-3.06, 2 Zr 3.08-3.17
9 Cd 0.5069 0.4881 0.8600  4 Hg 2.91-3.22, 2 Cd 3.05-3.06, 2 Zr 3.08-3.17
10 Cd 0.9931 0.1400 0.5119  4 Hg 2.91-3.22, 2 Cd 3.05-3.06, 2 Zr 3.08-3.17
11 Hg 0.3510 0.2821 0.9035  3 Hg 2.91-3.02, 3 Cd 2.91-3.22, 1 Zr 3.24
12 Hg 0.9682 0.6053 0.7641  2 Hg 2.91-3.23, 6 Zr 3.01-3.14, 1 Cd 3.17
13 Hg 0.0318 0.3947 0.2359  2 Hg 2.91-3.23, 6 Zr 3.01-3.14, 1 Cd 3.17
14 Hg 0.5318 0.2359 0.3947  2 Hg 2.91-3.23, 6 Zr 3.01-3.14, 1 Cd 3.17
15 Hg 0.6490 0.7179 0.0965  3 Hg 2.91-3.02, 3 Cd 2.91-3.22, 1 Zr 3.24
16 Hg 0.1490 0.0965 0.7179  3 Hg 2.91-3.02, 3 Cd 2.91-3.22, 1 Zr 3.24
17 Hg 0.4682 0.7641 0.6053  2 Hg 2.91-3.23, 6 Zr 3.01-3.14, 1 Cd 3.17
18 Hg 0.8510 0.9035 0.2821  3 Hg 2.91-3.02, 3 Cd 2.91-3.22, 1 Zr 3.24

Compound: Pr2Er3Th3
Source: the Alexandria database
Functional: GGA-PBE
Structure: relaxed

Values from the calculation:
Total magnetization ... 0.00 μB/f.u.
Raw total energy ... -5.520 eV/atom

Cell lengths 3.6594, 9.1054, 9.1054 Å; angles 119.99, 90.00, 90.00 degrees
Closest atoms and distances in Å follow each position.
Element x y z (fractional)
1 Pr 0.0000 0.6666 0.3334  6 Er 3.35, 3 Th 3.63, 2 Pr 3.66
2 Pr 0.0000 0.3334 0.6666  6 Er 3.35, 3 Th 3.63, 2 Pr 3.66
3 Er 0.5000 0.3935 0.9999  4 Pr 3.35, 4 Th 3.61, 2 Er 3.66
4 Er 0.5000 0.9999 0.3935  4 Pr 3.35, 4 Th 3.61, 2 Er 3.66
5 Er 0.5000 0.6067 0.6067  4 Pr 3.35, 4 Th 3.61, 2 Er 3.66
6 Th 0.0000 0.2250 0.2250  4 Th 3.55-3.66, 6 Er 3.61-3.93, 2 Pr 3.63
7 Th 0.0000 0.7750 0.0000  4 Th 3.55-3.66, 6 Er 3.61-3.93, 2 Pr 3.63
8 Th 0.0000 0.0000 0.7750  4 Th 3.55-3.66, 6 Er 3.61-3.93, 2 Pr 3.63

Compound: YNp2S5
Source: the Alexandria database
Functional: GGA-PBE
Structure: relaxed

Values from the calculation:
Total magnetization ... 7.00 μB/f.u.
E_form (uncorrected) ... -1.52 eV per atom
Raw total energy ... -8.142 eV/atom

Cell lengths 3.9155, 7.5624, 11.7002 Å; angles 90.00, 90.00, 90.00 degrees
Closest atoms and distances in Å follow each position.
Element x y z (fractional)
1 S 0.5000 0.3256 0.6052  2 Y 2.66, 2 Np 2.78-2.79
2 S 0.0000 0.0000 0.5000  4 Np 2.86
3 S 0.5000 0.1744 0.1052  2 Y 2.66, 2 Np 2.78-2.79
4 S 0.5000 0.8256 0.8948  2 Y 2.66, 2 Np 2.78-2.79
5 S 0.0000 0.5000 0.0000  4 Np 2.86
6 S 0.0000 0.1819 0.7979  1 Y 2.74, 4 Np 2.88-2.96
7 S 0.5000 0.6744 0.3948  2 Y 2.66, 2 Np 2.78-2.79
8 S 0.0000 0.8181 0.2021  1 Y 2.74, 4 Np 2.88-2.96
9 S 0.0000 0.6819 0.7021  1 Y 2.74, 4 Np 2.88-2.96
10 S 0.0000 0.3181 0.2979  1 Y 2.74, 4 Np 2.88-2.96
11 Np 0.5000 0.4732 0.8228  8 S 2.78-2.96
12 Np 0.5000 0.0268 0.3228  8 S 2.78-2.96
13 Np 0.5000 0.5268 0.1772  8 S 2.78-2.96
14 Np 0.5000 0.9732 0.6772  8 S 2.78-2.96
15 Y 0.0000 0.0000 0.0000  6 S 2.66-2.74
16 Y 0.0000 0.5000 0.5000  6 S 2.66-2.74

Compound: SrAcSm2As4
Source: the Alexandria database
Functional: GGA-PBE
Structure: relaxed

Values from the calculation:
Total magnetization ... 0.00 μB/f.u.
Raw total energy ... -5.566 eV/atom

Cell lengths 4.3523, 7.6266, 7.5194 Å; angles 70.76, 90.00, 90.00 degrees
Closest atoms and distances in Å follow each position.
Element x y z (fractional)
1 Sm 0.0000 0.0000 0.0000  6 As 3.01
2 Sm 0.5000 0.0000 0.5000  6 As 3.00-3.01
3 As 0.5000 0.2309 0.7558  3 Sm 3.01, 2 Ac 3.17, 1 Sr 3.17
4 As 0.5000 0.7691 0.2442  3 Sm 3.01, 2 Ac 3.17, 1 Sr 3.17
5 As 0.0000 0.2299 0.2580  3 Sm 3.00-3.01, 1 Ac 3.17, 2 Sr 3.18
6 As 0.0000 0.7701 0.7420  3 Sm 3.00-3.01, 1 Ac 3.17, 2 Sr 3.18
7 Sr 0.5000 0.5000 0.0000  6 As 3.17-3.18
8 Ac 0.0000 0.5000 0.5000  6 As 3.17

Compound: Ti2CoBi
Source: the Alexandria database
Functional: GGA-PBE
Structure: relaxed

Values from the calculation:
Total magnetization ... 0.00 μB/f.u.
Raw total energy ... -6.629 eV/atom

Cell lengths 7.2014, 7.2014, 5.8299 Å; angles 51.86, 51.86, 90.00 degrees
Closest atoms and distances in Å follow each position.
Element x y z (fractional)
1 Ti 0.1934 0.6250 0.2500  2 Co 2.34
2 Ti 0.8750 0.8066 0.7500  2 Co 2.34
3 Ti 0.5566 0.1250 0.2500  2 Co 2.34
4 Ti 0.3750 0.4434 0.7500  2 Co 2.34
5 Bi 0.7500 0.2500 0.5000  2 Co 2.84, 8 Ti 3.00-3.08
6 Bi 0.0000 0.0000 0.0000  2 Co 2.84, 8 Ti 3.00-3.08
7 Co 0.2500 0.7500 0.5000  4 Ti 2.34
8 Co 0.5000 0.5000 0.0000  4 Ti 2.34

Compound: InHg3Mo
Source: the Alexandria database
Functional: GGA-PBE
Structure: relaxed

Values from the calculation:
Total magnetization ... 2.33 μB/f.u.
Raw total energy ... -2.136 eV/atom
Distance to the lowest polymorph of the same formula ... 0.00 eV/f.u.

Cell lengths 5.4163, 5.4163, 5.4163 Å; angles 90.00, 90.00, 90.00 degrees
Closest atoms and distances in Å follow each position.
Element x y z (fractional)
1 In 0.5000 0.5000 0.5000  12 Hg 3.83
2 Hg 0.5000 0.0000 0.0000  2 Mo 2.71
3 Hg 0.0000 0.0000 0.5000  2 Mo 2.71
4 Hg 0.0000 0.5000 0.0000  2 Mo 2.71
5 Mo 0.0000 0.0000 0.0000  6 Hg 2.71